Tl2CdIr: optimized geometry, PBE.

Properties
The total moment is 0.0 μB/cell. Its energy above the most stable polymorph in this dataset is 331 meV per atom. The calculation puts the theoretical density at 13.914 Mg/m³.

The structure in CIF format:
```
data_Tl2CdIr
_chemical_formula_sum 'Tl2 Cd1 Ir1'
_cell_length_a 4.548
_cell_length_b 4.548
_cell_length_c 4.117
_cell_angle_alpha 90.00
_cell_angle_beta 90.00
_cell_angle_gamma 90.00
_symmetry_space_group_name_H-M 'P 4/m m m'
_symmetry_Int_Tables_number 123
_symmetry_space_group_name_Hall '-P 4 2'
loop_
_atom_site_label
_atom_site_fract_x
_atom_site_fract_y
_atom_site_fract_z
_atom_site_occupancy
Tl1 0.000 0.500 0.000 1
Cd1 0.000 0.000 0.500 1
Ir1 0.500 0.500 0.500 1
```